*a*
First-principles (PBE+U) data for MnPtN2F after structural relaxation, as listed in the Alexandria database.

a = 3.7447 Å, b = 3.7447 Å, c = 5.5930 Å
α = 90.00°, β = 90.00°, γ = 90.00°
Site moments in Bohr magnetons follow the coordinates.
Atoms (fractional coordinates):
N: 0.0000 0.5000 0.0000  0.02
N: 0.5000 0.0000 0.0000  0.02
F: 0.0000 0.0000 0.5000  0.03
Mn: 0.5000 0.5000 0.5000  4.80
Pt: 0.0000 0.0000 0.0000  0.04

Properties
Calculated volume: 78.43 Å³/f.u.

***

*b*
First-principles (PBE+U) data for MnPtN2F after structural relaxation, as listed in the Alexandria database.

a = 3.7371 Å, b = 3.7371 Å, c = 3.8115 Å
α = 90.00°, β = 90.00°, γ = 90.00°
Atoms (fractional coordinates):
F: 0.0000 0.0000 0.5000
Mn: 0.0000 0.0000 0.0000
N: 0.5000 0.0000 0.0000
N: 0.0000 0.5000 0.0000
Pt: 0.5000 0.5000 0.5000

Properties
Calculated volume: 53.23 Å³/f.u.

***

Order of stability, best first: *a*, *b*

***

*a*
First-principles (PBE+U) data for RbMnNF2 after structural relaxation, as listed in the Alexandria database.

a = 4.4201 Å, b = 4.4201 Å, c = 3.8432 Å
α = 90.00°, β = 90.00°, γ = 90.00°
Site moments in Bohr magnetons follow the coordinates.
Atoms (fractional coordinates):
Mn: 0.0000 0.0000 0.0000  4.07
Rb: 0.5000 0.5000 0.5000  -0.01
F: 0.5000 0.0000 0.0000  -0.01
F: 0.0000 0.5000 0.0000  -0.01
N: 0.0000 0.0000 0.5000  -0.82

Properties
Calculated volume: 75.08 Å³/f.u.

***

*b*
First-principles (PBE+U) data for RbMnNF2 after structural relaxation, as listed in the Alexandria database.

a = 4.8382 Å, b = 4.8382 Å, c = 4.5590 Å
α = 90.00°, β = 90.00°, γ = 90.00°
Site moments in Bohr magnetons follow the coordinates.
Atoms (fractional coordinates):
F: 0.5000 0.0000 0.0000  0.01
F: 0.0000 0.5000 0.0000  0.01
Mn: 0.5000 0.5000 0.5000  4.75
N: 0.0000 0.0000 0.5000  0.72
Rb: 0.0000 0.0000 0.0000  0.04

Properties
Calculated volume: 106.72 Å³/f.u.

***

Order of stability, best first: *a*, *b*